Compound: SmVSb3
Source: Alexandria via LeMat-Bulk
Functional: GGA-PBEsol
Structure: relaxed

Summary:
The uncorrected formation energy comes out at -0.5784 eV per atom. For the density, the calculation gives 8.01 g/cm3. The calculation puts the density of states at the Fermi level at 11.48 states/eV/cell. For the total energy, the calculation gives -31.3 eV per formula unit.

Unit cell a=12.821 b=6.222 c=5.890 alpha=90.00 beta=90.00 gamma=90.00
Space group Pbcm (No. 57)
Asymmetric unit:
1 Sm 0.190 0.002 0.250 (multiplicity 4)
2 V 0.403 0.750 0.000 (multiplicity 4)
3 Sb 0.001 0.750 0.000 (multiplicity 4)
4 Sb 0.278 0.006 0.750 (multiplicity 4)
5 Sb 0.434 0.105 0.250 (multiplicity 4)